Density functional theory data (PBE) for a geometry-optimized Pm4NdSm3S8 structure.

Crystal system: trigonal
E_form (uncorrected) (eV per atom): -2.024
Magnetization (Bohr magnetons per cell): 0.00

Unit cell a=8.060 b=8.060 c=8.060 alpha=60.00 beta=60.00 gamma=60.00
Atoms (fractional coordinates):
Pm 0.000 0.000 0.000
Pm 0.000 0.500 0.500
Pm 0.500 0.000 0.500
Pm 0.500 0.500 0.000
Nd 0.500 0.500 0.500
Sm 0.000 0.000 0.500
Sm 0.000 0.500 0.000
Sm 0.500 0.000 0.000
S 0.247 0.751 0.751
S 0.249 0.249 0.249
S 0.249 0.249 0.753
S 0.249 0.753 0.249
S 0.751 0.247 0.751
S 0.751 0.751 0.247
S 0.751 0.751 0.751
S 0.753 0.249 0.249

=====

Density functional theory data (PBE) for a geometry-optimized PmNdSm4S8 structure.

Crystal system: trigonal
E_form (uncorrected) (eV per atom): -1.917
Magnetization (Bohr magnetons per cell): 0.00

Unit cell a=8.269 b=8.269 c=8.269 alpha=59.93 beta=59.93 gamma=59.93
Atoms (fractional coordinates):
Pm 0.000 0.000 0.000
Nd 0.375 0.375 0.375
Sm 0.000 0.000 0.501
Sm 0.000 0.501 0.000
Sm 0.501 0.000 0.000
Sm 0.626 0.626 0.626
S 0.229 0.757 0.757
S 0.241 0.241 0.241
S 0.242 0.242 0.776
S 0.242 0.776 0.242
S 0.757 0.229 0.757
S 0.757 0.757 0.229
S 0.758 0.758 0.758
S 0.776 0.242 0.242

=====

Density functional theory data (PBE) for a geometry-optimized Pm3NdSm2S6 structure.

Crystal system: monoclinic
E_form (uncorrected) (eV per atom): -2.033
Magnetization (Bohr magnetons per cell): 0.00

Unit cell a=6.989 b=6.989 c=6.978 alpha=99.58 beta=99.58 gamma=120.17
Atoms (fractional coordinates):
Pm 0.000 0.000 0.000
Pm 0.335 0.665 0.000
Pm 0.665 0.335 0.000
Nd 0.500 0.500 0.500
Sm 0.167 0.833 0.500
Sm 0.833 0.167 0.500
S 0.080 0.417 0.250
S 0.246 0.246 0.749
S 0.417 0.080 0.250
S 0.583 0.920 0.750
S 0.754 0.754 0.251
S 0.920 0.583 0.750

=====

Density functional theory data (PBE) for a geometry-optimized Pm3NdSm4S8 structure.

Crystal system: trigonal
E_form (uncorrected) (eV per atom): -2.024
Magnetization (Bohr magnetons per cell): 0.00

Unit cell a=8.054 b=8.054 c=8.054 alpha=60.00 beta=60.00 gamma=60.00
Atoms (fractional coordinates):
Pm 0.000 0.500 0.500
Pm 0.500 0.000 0.500
Pm 0.500 0.500 0.000
Nd 0.000 0.000 0.000
Sm 0.000 0.000 0.500
Sm 0.000 0.500 0.000
Sm 0.500 0.000 0.000
Sm 0.500 0.500 0.500
S 0.249 0.249 0.249
S 0.250 0.748 0.748
S 0.252 0.252 0.750
S 0.252 0.750 0.252
S 0.748 0.250 0.748
S 0.748 0.748 0.250
S 0.750 0.252 0.252
S 0.751 0.751 0.751

=====

Record-wise uncorrected energy values, in eV/atom: -6.458, -6.304, -6.468, -6.456
Record-wise N(E_F) values, in states/eV/atom: 0.585, 0.603, 0.424, 0.582